No. 1
The following is a PBE calculation of crystalline Cd2PO4 at its relaxed geometry, from the Alexandria database.

Summary:
* excess energy over the best structure of this formula in the dataset: 0.063 eV/atom
* ρ: 4775 kg/m³
* energy: -5.31 eV/atom
* crystal system: tetragonal

Cell lengths 5.9487, 5.9487, 6.2855 Å; angles 90.00, 90.00, 90.00 degrees
Closest atoms and distances in Å follow each position.
Space group I-42m (No. 121)
Inequivalent atoms, fractional coordinates:
Cd1 0.0000 0.5000 0.0000  4 O 2.40
P1 0.0000 0.0000 0.0000  4 O 1.58
O1 0.1573 0.1573 0.8634  1 P 1.58

***

No. 2
The following is a PBE calculation of crystalline YS2F at its relaxed geometry, from the Alexandria database.

Summary:
* excess energy over the best structure of this formula in the dataset: 0.129 eV/atom
* ρ: 2940 kg/m³
* energy: -5.48 eV/atom
* crystal system: trigonal

Cell lengths 4.0687, 4.0687, 20.3334 Å; angles 90.00, 90.00, 120.00 degrees
Closest atoms and distances in Å follow each position.
Space group R-3m (No. 166, hexagonal axes)
Inequivalent atoms, fractional coordinates:
Y1 0.0000 0.0000 0.0000  6 S 2.72
S1 0.0000 0.0000 0.4006  1 F 2.02
F1 0.0000 0.0000 0.5000  2 S 2.02

***

No. 3
The following is a PBE calculation of crystalline YHgHCl2 at its relaxed geometry, from the Alexandria database.

Summary:
* ρ: 3773 kg/m³
* energy: -2.45 eV/atom
* crystal system: tetragonal

Cell lengths 5.2027, 5.2027, 5.8757 Å; angles 90.00, 90.00, 90.00 degrees
Closest atoms and distances in Å follow each position.
Space group P4/mmm (No. 123)
Inequivalent atoms, fractional coordinates:
Y1 0.0000 0.0000 0.0000  2 Hg 2.94
Hg1 0.0000 0.0000 0.5000  4 Cl 2.60
H1 0.5000 0.5000 0.0000  4 Y 3.68, 8 Cl 3.92
Cl1 0.0000 0.5000 0.5000  2 Hg 2.60

***

No. 4
The following is a PBE calculation of crystalline Ba6AsAu3 at its relaxed geometry, from the Alexandria database.

Summary:
* DFT formation energy: -663 meV per atom
* ρ: 5715 kg/m³
* energy: -3.27 eV/atom
* crystal system: monoclinic

Cell lengths 8.0377, 8.8222, 14.5294 Å; angles 90.00, 122.83, 90.00 degrees
Closest atoms and distances in Å follow each position.
Space group P2_1/c (No. 14)
Inequivalent atoms, fractional coordinates:
Ba1 0.0918 0.0534 0.2460  1 As 3.27, 3 Au 3.39-3.52
Ba2 0.2485 0.6856 0.0771  3 Au 3.24-3.53, 1 As 3.24
Ba3 0.4006 0.1779 0.0770  1 As 3.19, 2 Au 3.31-3.40
As1 0.0000 0.0000 0.0000  6 Ba 3.19-3.27
Au1 0.3104 0.1079 0.7560  6 Ba 3.40-3.59
Au2 0.5000 0.0000 0.5000  6 Ba 3.24-3.39

***

No. 5
The following is a PBE calculation of crystalline Pm5Pr2Y3 at its relaxed geometry, from the Alexandria database.

Summary:
* DFT formation energy: 184 meV per atom
* ρ: 6071 kg/m³
* energy: -5.09 eV/atom
* crystal system: monoclinic

Cell lengths 11.0147, 15.5839, 9.7719 Å; angles 90.00, 123.83, 90.00 degrees
Closest atoms and distances in Å follow each position.
Space group C2/c (No. 15)
Inequivalent atoms, fractional coordinates:
Pm1 0.0000 0.0316 0.2500  1 Pm 3.12, 2 Y 3.39
Pm2 0.0000 0.2318 0.2500  1 Pm 3.12, 2 Pr 3.33
Pm3 0.0000 0.2719 0.7500  5 Y 3.24-3.56, 2 Pr 3.51, 2 Pm 3.61
Pm4 0.2338 0.1199 0.7241  3 Y 3.55-3.69, 3 Pm 3.61-3.63, 2 Pr 3.62-3.85
Pr1 0.1475 0.3750 0.5549  3 Y 3.24-3.52, 4 Pm 3.33-3.62
Y1 0.0000 0.4798 0.7500  3 Pm 3.24-3.55, 4 Pr 3.35-3.52, 2 Y 3.53
Y2 0.1561 0.1221 0.0457  1 Pr 3.24, 5 Pm 3.35-3.58, 1 Y 3.53

***

No. 6
The following is a PBE calculation of crystalline LiTh2RuPb at its relaxed geometry, from the Alexandria database.

Summary:
* DFT formation energy: -354 meV per atom
* ρ: 10030 kg/m³
* energy: -6.30 eV/atom
* crystal system: monoclinic

Cell lengths 8.2385, 3.9211, 8.4137 Å; angles 90.00, 108.31, 90.00 degrees
Closest atoms and distances in Å follow each position.
Space group P2_1/m (No. 11)
Inequivalent atoms, fractional coordinates:
Li1 0.1370 0.2500 0.0736  1 Ru 2.77, 3 Pb 2.91-2.97, 2 Li 2.95
Th1 0.1508 0.7500 0.4162  2 Ru 2.78
Th2 0.5004 0.2500 0.7750  3 Ru 2.75-3.08
Ru1 0.3794 0.2500 0.3890  5 Th 2.75-3.08, 1 Li 2.77, 2 Ru 2.99
Pb1 0.1834 0.7500 0.8358  3 Li 2.91-2.97

***

No. 7
The following is a PBE calculation of crystalline SmPuSn2 at its relaxed geometry, from the Alexandria database.

Summary:
* DFT formation energy: -483 meV per atom
* ρ: 8979 kg/m³
* energy: -7.25 eV/atom
* crystal system: orthorhombic

Cell lengths 4.3101, 4.6754, 11.5964 Å; angles 90.00, 90.00, 90.00 degrees
Closest atoms and distances in Å follow each position.
Space group Amm2 (No. 38)
Inequivalent atoms, fractional coordinates:
Sm1 0.0000 0.0000 0.0000  7 Sn 3.21-3.49
Pu1 0.5000 0.0000 0.2690  7 Sn 3.19-3.50
Sn1 0.0000 0.0000 0.7232  2 Sn 3.00, 1 Sm 3.21, 4 Pu 3.22
Sn2 0.5000 0.0000 0.5438  2 Sn 3.00, 1 Pu 3.19, 4 Sm 3.22

***

No. 8
The following is a PBE calculation of crystalline LaPr6Dy2Y3 at its relaxed geometry, from the Alexandria database.

Summary:
* DFT formation energy: 13 meV per atom
* ρ: 6342 kg/m³
* energy: -5.17 eV/atom
* crystal system: monoclinic

Cell lengths 6.3452, 10.9948, 12.0186 Å; angles 90.00, 100.14, 90.00 degrees
Closest atoms and distances in Å follow each position.
Space group C2/m (No. 12)
Inequivalent atoms, fractional coordinates:
La1 0.0000 0.0000 0.0000  6 Pr 3.65, 6 Dy 3.66-3.67
Pr1 0.2485 0.3329 0.7486  3 Y 3.62-3.63, 2 Dy 3.65, 1 La 3.65, 6 Pr 3.66-3.67
Pr2 0.2497 0.0000 0.7486  3 Y 3.62, 2 Dy 3.65, 1 La 3.65, 6 Pr 3.66-3.67
Dy1 0.0000 0.3335 0.0000  6 Pr 3.65, 3 Dy 3.66-3.67, 3 La 3.66-3.67
Y1 0.0000 0.1670 0.5000  6 Pr 3.62-3.63, 6 Y 3.66-3.67
Y2 0.0000 0.5000 0.5000  6 Pr 3.62, 6 Y 3.66-3.67

***

No. 9
The following is a PBE calculation of crystalline LiReAgH2 at its relaxed geometry, from the Alexandria database.

Summary:
* ρ: 7267 kg/m³
* energy: -3.51 eV/atom
* crystal system: tetragonal

Cell lengths 3.5766, 3.5766, 5.4130 Å; angles 90.00, 90.00, 90.00 degrees
Closest atoms and distances in Å follow each position.
Space group P4/mmm (No. 123)
Inequivalent atoms, fractional coordinates:
Li1 0.0000 0.0000 0.0000  4 Re 2.53
Re1 0.5000 0.5000 0.0000  4 Li 2.53, 2 Ag 2.71
Ag1 0.5000 0.5000 0.5000  4 H 1.79
H1 0.0000 0.5000 0.5000  2 Ag 1.79

***

No. 10
The following is a PBE calculation of crystalline KHf4Se8 at its relaxed geometry, from the Alexandria database.

Summary:
* excess energy over the best structure of this formula in the dataset: 0.183 eV/atom
* ρ: 6211 kg/m³
* energy: -6.51 eV/atom
* crystal system: cubic

Cell lengths 11.3982, 11.3982, 11.3982 Å; angles 90.00, 90.00, 90.00 degrees
Closest atoms and distances in Å follow each position.
Space group F-43m (No. 216)
Inequivalent atoms, fractional coordinates:
K1 0.0000 0.0000 0.0000  4 Se 2.83
Hf1 0.1206 0.1206 0.6206  6 Se 2.72
Se1 0.1176 0.1176 0.3824  3 Hf 2.72
Se2 0.1433 0.1433 0.8567  3 Hf 2.72, 1 K 2.83

***

No. 11
The following is a PBE calculation of crystalline NaPr2Ir9 at its relaxed geometry, from the Alexandria database.

Summary:
* DFT formation energy: -233 meV per atom
* ρ: 15321 kg/m³
* energy: -7.79 eV/atom
* crystal system: trigonal

Cell lengths 5.3789, 5.3789, 26.4038 Å; angles 90.00, 90.00, 120.00 degrees
Closest atoms and distances in Å follow each position.
Space group R-3m (No. 166, hexagonal axes)
Inequivalent atoms, fractional coordinates:
Na1 0.0000 0.0000 0.0000  18 Ir 3.11-3.42
Pr1 0.0000 0.0000 0.1365  9 Ir 3.07-3.21
Ir1 0.0000 0.0000 0.3320  6 Ir 2.61-2.65
Ir2 0.0000 0.0000 0.5000  6 Ir 2.75
Ir3 0.0037 0.5018 0.0803  7 Ir 2.61-2.75

***

No. 12
The following is a PBE calculation of crystalline K2MnGe3Pt4 at its relaxed geometry, from the Alexandria database.

Summary:
* DFT formation energy: -361 meV per atom
* ρ: 9237 kg/m³
* energy: -5.30 eV/atom
* crystal system: tetragonal

Cell lengths 4.3875, 4.3875, 10.5655 Å; angles 90.00, 90.00, 90.00 degrees
Closest atoms and distances in Å follow each position.
Space group P-4m2 (No. 115)
Inequivalent atoms, fractional coordinates:
K1 0.0000 0.5000 0.2496  8 Pt 3.34-3.43, 6 Ge 3.37-3.44, 2 Mn 3.44
Mn1 0.0000 0.0000 0.5000  4 Pt 2.60
Ge1 0.0000 0.5000 0.8757  5 Pt 2.56-2.57
Ge2 0.5000 0.5000 0.5000  4 Pt 2.60
Pt1 0.0000 0.0000 0.0000  4 Ge 2.56
Pt2 0.0000 0.5000 0.6325  3 Ge 2.57-2.60, 2 Mn 2.60
Pt3 0.5000 0.5000 0.0000  4 Ge 2.56

***

No. 13
The following is a PBE calculation of crystalline Ac6LaNd5 at its relaxed geometry, from the Alexandria database.

Summary:
* DFT formation energy: 24 meV per atom
* ρ: 7677 kg/m³
* energy: -4.43 eV/atom
* crystal system: orthorhombic

Cell lengths 5.5006, 10.6562, 16.4000 Å; angles 90.00, 90.00, 90.00 degrees
Closest atoms and distances in Å follow each position.
Space group Immm (No. 71)
Inequivalent atoms, fractional coordinates:
Ac1 0.0000 0.2486 0.0000  6 Nd 3.81-3.83, 2 La 3.84, 4 Ac 3.88
Ac2 0.0000 0.2508 0.3334  7 Nd 3.81-3.83, 1 La 3.82, 4 Ac 3.88
La1 0.0000 0.0000 0.5000  8 Ac 3.82-3.84, 4 Nd 3.88
Nd1 0.0000 0.0000 0.1673  8 Ac 3.81-3.82, 4 Nd 3.87-3.89
Nd2 0.0000 0.5000 0.1670  8 Ac 3.81-3.83, 2 Nd 3.87, 2 La 3.88
Nd3 0.0000 0.5000 0.5000  8 Ac 3.81-3.82, 4 Nd 3.89

***

No. 14
The following is a PBE calculation of crystalline PmHo2TmIn4 at its relaxed geometry, from the Alexandria database.

Summary:
* DFT formation energy: -454 meV per atom
* ρ: 8575 kg/m³
* energy: -4.12 eV/atom
* crystal system: trigonal

Cell lengths 5.3179, 5.3179, 26.1662 Å; angles 90.00, 90.00, 120.00 degrees
Closest atoms and distances in Å follow each position.
Space group R-3m (No. 166, hexagonal axes)
Inequivalent atoms, fractional coordinates:
Pm1 0.0000 0.0000 0.0000  8 In 3.27-3.31
Ho1 0.0000 0.0000 0.2493  8 In 3.21-3.33
Tm1 0.0000 0.0000 0.5000  8 In 3.23-3.25
In1 0.0000 0.0000 0.1265  4 Ho 3.21-3.27, 3 Tm 3.25, 1 Pm 3.31
In2 0.0000 0.0000 0.3766  1 Tm 3.23, 4 Ho 3.25-3.33, 3 Pm 3.27

***

No. 15
The following is a PBE calculation of crystalline Tc2SbCl at its relaxed geometry, from the Alexandria database.

Summary:
* excess energy over the best structure of this formula in the dataset: 0.469 eV/atom
* ρ: 7357 kg/m³
* energy: -6.30 eV/atom
* crystal system: orthorhombic

Cell lengths 3.0498, 5.2555, 9.9477 Å; angles 90.00, 90.00, 90.00 degrees
Closest atoms and distances in Å follow each position.
Space group Cmm2 (No. 35)
Inequivalent atoms, fractional coordinates:
Tc1 0.0000 0.0000 0.0000  2 Tc 2.50
Tc2 0.0000 0.5000 0.1989  2 Cl 2.48, 2 Tc 2.50
Sb1 0.0000 0.5000 0.7566  2 Tc 2.86, 6 Sb 3.04-3.05
Cl1 0.0000 0.0000 0.3960  2 Tc 2.48

***

No. 16
The following is a PBE calculation of crystalline Ho3Sc2In2 at its relaxed geometry, from the Alexandria database.

Summary:
* excess energy over the best structure of this formula in the dataset: 0.011 eV/atom
* DFT formation energy: 0 meV per atom
* ρ: 7369 kg/m³
* energy: -4.55 eV/atom
* crystal system: monoclinic

Cell lengths 5.1512, 3.2415, 11.2882 Å; angles 90.00, 103.19, 90.00 degrees
Closest atoms and distances in Å follow each position.
Space group P2/m (No. 10)
Inequivalent atoms, fractional coordinates:
Ho1 0.0000 0.0000 0.0000  2 Sc 3.01, 2 Ho 3.24
Ho2 0.2881 0.0000 0.5765  3 Sc 3.05-3.32, 4 Ho 3.07-3.24, 2 In 3.39
Sc1 0.1374 0.0000 0.2742  4 Ho 3.01-3.32, 2 Sc 3.24, 4 In 3.32
In1 0.4231 0.5000 0.8473  3 In 3.24-3.36, 4 Sc 3.32, 6 Ho 3.39-3.48

***

No. 17
The following is a PBE calculation of crystalline Cu2RuSe at its relaxed geometry, from the Alexandria database.

Summary:
* ρ: 9093 kg/m³
* energy: -4.89 eV/atom
* crystal system: tetragonal

Cell lengths 3.5994, 3.5994, 8.6579 Å; angles 90.00, 90.00, 90.00 degrees
Closest atoms and distances in Å follow each position.
Space group I4/mmm (No. 139)
Inequivalent atoms, fractional coordinates:
Cu1 0.0000 0.5000 0.2500  4 Cu 2.55, 4 Se 2.81, 4 Ru 2.81
Ru1 0.0000 0.0000 0.0000  4 Se 2.55, 8 Cu 2.81
Se1 0.0000 0.0000 0.5000  4 Ru 2.55, 8 Cu 2.81

***

No. 18
The following is a PBE calculation of crystalline LiTb4YS8 at its relaxed geometry, from the Alexandria database.

Summary:
* ρ: 4460 kg/m³
* energy: -6.25 eV/atom
* crystal system: trigonal

Cell lengths 8.0465, 8.0465, 19.6819 Å; angles 90.00, 90.00, 120.00 degrees
Closest atoms and distances in Å follow each position.
Space group R3m (No. 160, hexagonal axes)
Inequivalent atoms, fractional coordinates:
Li1 0.0000 0.0000 0.0000  4 S 2.58-2.59
Tb1 0.0000 0.0000 0.2502  4 S 2.63
Tb2 0.1727 0.3453 0.4571  6 S 2.72-2.81
Y1 0.0000 0.0000 0.6298  6 S 2.71-2.80
S1 0.0000 0.0000 0.3837  4 Tb 2.63-2.81
S2 0.0000 0.0000 0.8687  1 Li 2.58, 3 Tb 2.72
S3 0.0176 0.5088 0.3773  1 Li 2.59, 1 Y 2.71, 2 Tb 2.72
S4 0.1783 0.3566 0.2061  3 Tb 2.63-2.81, 1 Y 2.80

***

No. 19
The following is a PBE calculation of crystalline CaInGaCl6 at its relaxed geometry, from the Alexandria database.

Summary:
* ρ: 2640 kg/m³
* energy: -3.54 eV/atom
* crystal system: trigonal

Cell lengths 6.7899, 6.7899, 6.8900 Å; angles 90.00, 90.00, 120.00 degrees
Closest atoms and distances in Å follow each position.
Space group P312 (No. 149)
Inequivalent atoms, fractional coordinates:
Ca1 0.0000 0.0000 0.0000  6 Cl 2.75
In1 0.6667 0.3333 0.5000  6 Cl 3.23
Ga1 0.3333 0.6667 0.0000  6 Cl 2.41
Cl1 0.0528 0.3712 0.2048  1 Ga 2.41

***

No. 20
The following is a PBE calculation of crystalline CeSmP at its relaxed geometry, from the Alexandria database.

Summary:
* DFT formation energy: -770 meV per atom
* ρ: 6726 kg/m³
* energy: -6.12 eV/atom
* crystal system: cubic

Cell lengths 6.8217, 6.8217, 6.8217 Å; angles 90.00, 90.00, 90.00 degrees
Closest atoms and distances in Å follow each position.
Space group F-43m (No. 216)
Inequivalent atoms, fractional coordinates:
Ce1 0.0000 0.0000 0.0000  4 P 2.95
Sm1 0.0000 0.0000 0.5000  4 P 2.95
P1 0.2500 0.2500 0.7500  4 Ce 2.95, 4 Sm 2.95